(1)
Compound: Ti12Zn3Cu
Source: Alexandria
Functional: GGA-PBE
Structure: relaxed

Total magnetic moment, Bohr magnetons per cell: 0.0
DOS at the Fermi energy, states/eV per atom: 1.44

Lattice parameters (Å, degrees): 4.0077 4.0077 16.0345 90.00 90.00 90.00
Space group P4/mmm (No. 123)
Asymmetric unit:
Ti 0.0000 0.0000 0.0000 x1
Ti 0.0000 0.0000 0.2483 x2
Ti 0.0000 0.0000 0.5000 x1
Ti 0.0000 0.5000 0.1231 x4
Ti 0.0000 0.5000 0.3746 x4
Zn 0.5000 0.5000 0.2486 x2
Zn 0.5000 0.5000 0.5000 x1
Cu 0.5000 0.5000 0.0000 x1

(2)
Compound: Ti4Zn5Cu
Source: Alexandria
Functional: GGA-PBE
Structure: relaxed

Total magnetic moment, Bohr magnetons per cell: 2.5
DOS at the Fermi energy, states/eV per atom: 0.71

Lattice parameters (Å, degrees): 2.8277 2.8277 18.8952 90.00 90.00 90.00
Space group P4/mmm (No. 123)
Asymmetric unit:
Ti 0.0000 0.0000 0.1025 x2
Ti 0.0000 0.0000 0.3073 x2
Zn 0.5000 0.5000 0.0000 x1
Zn 0.5000 0.5000 0.2056 x2
Zn 0.5000 0.5000 0.4121 x2
Cu 0.0000 0.0000 0.5000 x1

(3)
Compound: Ti5Zn4Cu4
Source: Alexandria
Functional: GGA-PBE
Structure: relaxed

Total magnetic moment, Bohr magnetons per cell: 4.1
DOS at the Fermi energy, states/eV per atom: 1.23

Lattice parameters (Å, degrees): 9.9224 9.9224 3.9873 90.00 90.00 90.00
Space group I4/m (No. 87)
Asymmetric unit:
Ti 0.0000 0.0000 0.0000 x2
Ti 0.1137 0.1919 0.5000 x8
Zn 0.0910 0.6087 0.5000 x8
Cu 0.0759 0.7575 0.0000 x8

(4)
Compound: Ti2Zn6Cu
Source: Alexandria
Functional: GGA-PBE
Structure: relaxed

Total magnetic moment, Bohr magnetons per cell: 0.0
Relative energy among the computed polymorphs, eV/atom: 0.000
DOS at the Fermi energy, states/eV per atom: 0.68

Lattice parameters (Å, degrees): 6.3988 10.5683 4.0373 90.00 90.00 90.00
Space group Cmmm (No. 65)
Asymmetric unit:
Ti 0.0000 0.2147 0.0000 x4
Zn 0.1948 0.3592 0.5000 x8
Zn 0.2290 0.5000 0.0000 x4
Cu 0.0000 0.0000 0.5000 x2

| no. | calculated formation energy (kJ per mole of atoms) |
| --- | --- |
| 1 | -7 |
| 2 | -17 |
| 3 | -2 |
| 4 | -9 |